K2Ca2WO6: optimized geometry, PBE with a Hubbard U.

Computed properties:
* space group: No. 12
* final energy: -69.37 eV per formula unit

Lattice parameters (Å, degrees): 5.766 5.766 6.566 98.80 98.80 118.59
Fractional positions:
K  0.829  0.171  0.000
K  0.171  0.829  0.000
Ca  0.336  0.664  0.500
Ca  0.664  0.336  0.500
W  0.000  0.000  0.500
O  0.781  0.781  0.676
O  0.053  0.342  0.674
O  0.219  0.219  0.324
O  0.342  0.053  0.674
O  0.947  0.658  0.326
O  0.658  0.947  0.326